Record 1
{"formula": "CaGaF5", "functional": "PBE-GGA", "state": "relaxed", "dft_energy_ev_per_atom": -5.2652, "space_group": "C2/c, No. 15", "raw_formation_energy_ev_per_atom": -3.210, "lattice_angstrom": [[-3.027, 4.434, 1.419], [-4.689, -0.068, -2.975], [-5.909, -2.141, 4.428]], "species": ["F", "F", "F", "F", "F", "F", "F", "F", "F", "F", "Ca", "Ca", "Ga", "Ga"], "fractional_positions": [[0.923, 0.077, 0.250], [0.282, 0.696, 0.471], [0.209, 0.247, 0.884], [0.304, 0.718, 0.029], [0.696, 0.282, 0.971], [0.753, 0.791, 0.616], [0.247, 0.209, 0.384], [0.077, 0.923, 0.750], [0.791, 0.753, 0.116], [0.718, 0.304, 0.529], [0.544, 0.456, 0.250], [0.456, 0.544, 0.750], [0.000, 0.000, 0.500], [0.000, 0.000, 0.000]]}

Record 2
{"formula": "Ca6Ga3F", "functional": "PBE-GGA", "state": "relaxed", "dft_energy_ev_per_atom": -3.1337, "space_group": "Cmc2_1, No. 36", "raw_formation_energy_ev_per_atom": -0.838, "lattice_angstrom": [[6.543, 0.000, 0.000], [0.000, 9.309, 0.113], [0.000, -1.967, 9.100]], "species": ["Ga", "Ga", "Ga", "Ga", "Ga", "Ga", "Ca", "Ca", "Ca", "Ca", "Ca", "Ca", "Ca", "Ca", "Ca", "Ca", "Ca", "Ca", "F", "F"], "fractional_positions": [[0.416, 0.476, 0.524], [0.520, 0.236, 0.991], [0.916, 0.524, 0.476], [0.020, 0.764, 0.009], [0.520, 0.009, 0.764], [0.020, 0.991, 0.236], [0.469, 0.921, 0.079], [0.710, 0.304, 0.696], [0.714, 0.866, 0.453], [0.714, 0.547, 0.134], [0.194, 0.759, 0.690], [0.194, 0.310, 0.241], [0.694, 0.241, 0.310], [0.214, 0.453, 0.866], [0.214, 0.134, 0.547], [0.694, 0.690, 0.759], [0.210, 0.696, 0.304], [0.969, 0.079, 0.921], [0.034, 0.244, 0.756], [0.534, 0.756, 0.244]]}

Record 3
{"formula": "CaGaF4", "functional": "PBE-GGA", "state": "relaxed", "dft_energy_ev_per_atom": -4.8120, "space_group": "I-4, No. 82", "raw_formation_energy_ev_per_atom": -2.726, "lattice_angstrom": [[-0.940, 3.008, -5.024], [-5.737, -1.491, 0.180], [2.777, 1.583, 3.928]], "species": ["F", "F", "F", "F", "Ca", "Ga"], "fractional_positions": [[0.646, 0.639, 0.822], [0.817, 0.354, 0.178], [0.176, 0.183, 0.822], [0.361, 0.824, 0.178], [0.750, 0.250, 0.500], [0.500, 0.500, 0.000]]}